Record 1
# Ti5Al4Au, optimized geometry, DFT PBE
data_Ti5Al4Au
_chemical_formula_sum 'Ti5 Al4 Au1'
_symmetry_space_group_name_H-M 'P 1'
_symmetry_Int_Tables_number 1
_symmetry_space_group_name_Hall 'P 1'
_cell_length_a 6.333
_cell_length_b 6.333
_cell_length_c 6.333
_cell_angle_alpha 100.80
_cell_angle_beta 100.80
_cell_angle_gamma 128.70
loop_
_atom_site_label
_atom_site_fract_x
_atom_site_fract_y
_atom_site_fract_z
Ti1 0.000 0.000 0.000
Ti2 0.144 0.874 0.604
Ti3 0.270 0.540 0.396
Ti4 0.540 0.144 0.270
Ti5 0.874 0.270 0.730
Al1 0.465 0.816 0.863
Al2 0.602 0.465 0.649
Al3 0.816 0.953 0.351
Al4 0.953 0.602 0.137
Au1 0.455 0.455 0.000
# Space group: I4
# V: 17.87 A^3/atom
# DFT total energy: -57.777 eV/cell
# Density: 5.1 g cm⁻³
# Magnetic moment: 0.000 μB per cell
# Formation energy from the elements: -0.005 eV per atom

Record 2
# Ti2AlAu6, optimized geometry, DFT PBE
data_Ti2AlAu6
_chemical_formula_sum 'Ti4 Al2 Au12'
_symmetry_space_group_name_H-M 'P 1'
_symmetry_Int_Tables_number 1
_symmetry_space_group_name_Hall 'P 1'
_cell_length_a 8.349
_cell_length_b 8.349
_cell_length_c 4.434
_cell_angle_alpha 90.00
_cell_angle_beta 90.00
_cell_angle_gamma 90.00
loop_
_atom_site_label
_atom_site_fract_x
_atom_site_fract_y
_atom_site_fract_z
Ti1 0.203 0.203 0.000
Ti2 0.297 0.703 0.500
Ti3 0.703 0.297 0.500
Ti4 0.797 0.797 0.000
Al1 0.000 0.000 0.500
Al2 0.500 0.500 0.000
Au1 0.031 0.323 0.500
Au2 0.127 0.873 0.000
Au3 0.177 0.531 0.000
Au4 0.323 0.031 0.500
Au5 0.373 0.373 0.500
Au6 0.469 0.823 0.000
Au7 0.531 0.177 0.000
Au8 0.627 0.627 0.500
Au9 0.677 0.969 0.500
Au10 0.823 0.469 0.000
Au11 0.873 0.127 0.000
Au12 0.969 0.677 0.500
# Space group: P4_2/mnm
# V: 17.17 A^3/atom
# DFT total energy: -84.929 eV/cell
# Density: 14.0 g cm⁻³
# Magnetic moment: 0.000 μB per cell
# Formation energy from the elements: -0.363 eV per atom

Record 3
# TiAlAu3, optimized geometry, DFT PBE
data_TiAlAu3
_chemical_formula_sum 'Ti3 Al3 Au9'
_symmetry_space_group_name_H-M 'P 1'
_symmetry_Int_Tables_number 1
_symmetry_space_group_name_Hall 'P 1'
_cell_length_a 6.393
_cell_length_b 6.393
_cell_length_c 6.393
_cell_angle_alpha 90.00
_cell_angle_beta 90.00
_cell_angle_gamma 90.00
loop_
_atom_site_label
_atom_site_fract_x
_atom_site_fract_y
_atom_site_fract_z
Ti1 0.000 0.000 0.500
Ti2 0.000 0.500 0.000
Ti3 0.500 0.000 0.000
Al1 0.000 0.500 0.500
Al2 0.500 0.000 0.500
Al3 0.500 0.500 0.000
Au1 0.000 0.000 0.000
Au2 0.267 0.267 0.267
Au3 0.267 0.267 0.733
Au4 0.267 0.733 0.267
Au5 0.267 0.733 0.733
Au6 0.733 0.267 0.267
Au7 0.733 0.267 0.733
Au8 0.733 0.733 0.267
Au9 0.733 0.733 0.733
# Space group: Pm-3m
# Energy relative to the lowest polymorph listed for this composition: 0 meV per atom
# V: 17.42 A^3/atom
# DFT total energy: -69.848 eV/cell
# Density: 12.7 g cm⁻³
# Magnetic moment: 0.442 μB per cell
# Formation energy from the elements: -0.363 eV per atom

Question: Number 1 is which compound?
Answer: Ti5Al4Au

Question: Which of these has the highest density?
Answer: Ti2AlAu6

Question: V of number 1 (Ti5Al4Au)?
Answer: 17.87 A^3/atom